# 1
Density functional theory data (GGA-PBE) for a relaxed structure of Tl2CdP2.

Lattice parameters (Å, degrees): 10.7738 10.7738 10.7738 161.76 161.76 25.90
Last column: nearest neighbours and their distance in Å.
Atoms (fractional coordinates):
Tl: 0.1197 0.1197 0.0000  4 P 3.23, 4 Tl 3.42, 4 Cd 3.49
Tl: 0.8803 0.8803 0.0000  4 P 3.23, 4 Tl 3.42, 4 Cd 3.49
Cd: 0.5000 0.5000 0.0000  4 Cd 3.42, 8 Tl 3.49
P: 0.2500 0.7500 0.5000  4 P 2.41
P: 0.7500 0.2500 0.5000  4 P 2.41

Values from the calculation:
Symmetry   No. 139
DFT formation energy   0.163 eV/atom
N(E_F)   2.1 states/eV/cell
Distance to the lowest polymorph of the same formula   8.7 kJ/mol of atoms
Size of the total moment   0.000 μB per cell

# 2
Density functional theory data (GGA-PBE) for a relaxed structure of TlCdP2.

Lattice parameters (Å, degrees): 5.6115 5.6115 2.8708 100.18 100.18 88.39
Last column: nearest neighbours and their distance in Å.
Atoms (fractional coordinates):
Tl: 0.0000 0.0000 0.0000  4 P 2.81, 2 Tl 2.87
Cd: 0.5000 0.5000 0.0000  4 P 2.81, 2 Cd 2.87
P: 0.0000 0.5000 0.0000  2 Cd 2.81, 2 Tl 2.81, 2 P 2.87
P: 0.5000 0.0000 0.0000  2 Cd 2.81, 2 Tl 2.81, 2 P 2.87

Values from the calculation:
Symmetry   No. 12
DFT formation energy   0.435 eV/atom
N(E_F)   1.6 states/eV/cell
Distance to the lowest polymorph of the same formula   28.4 kJ/mol of atoms
Size of the total moment   0.000 μB per cell

# 3
Density functional theory data (GGA-PBE) for a relaxed structure of TlCd2P.

Lattice parameters (Å, degrees): 6.9198 6.9198 6.9198 148.72 145.24 47.46
Last column: nearest neighbours and their distance in Å.
Atoms (fractional coordinates):
Tl: 0.0000 0.0000 0.0000  6 Cd 3.19-3.21, 2 P 3.25
Cd: 0.3059 0.8059 0.5000  4 P 2.79, 2 Cd 3.11
Cd: 0.6225 0.6225 0.0000  2 P 2.82, 2 Cd 3.11
P: 0.7898 0.2898 0.5000  6 Cd 2.79-2.82

Values from the calculation:
Symmetry   No. 44
DFT formation energy   0.150 eV/atom
N(E_F)   1.5 states/eV/cell
Size of the total moment   0.000 μB per cell

# 4
Density functional theory data (GGA-PBE) for a relaxed structure of TlCd2P.

Lattice parameters (Å, degrees): 4.2226 4.2934 5.1269 90.00 90.00 90.00
Last column: nearest neighbours and their distance in Å.
Atoms (fractional coordinates):
Tl: 0.0000 0.0000 0.0000  8 Cd 3.01-3.32, 4 P 3.34
Cd: 0.5000 0.0000 0.5000  4 P 3.01, 4 Tl 3.32, 4 Cd 3.34
Cd: 0.5000 0.5000 0.0000  4 Tl 3.01, 4 P 3.32, 4 Cd 3.34
P: 0.0000 0.5000 0.5000  8 Cd 3.01-3.32, 4 Tl 3.34

Values from the calculation:
Symmetry   No. 47
DFT formation energy   0.272 eV/atom
N(E_F)   1.9 states/eV/cell
Size of the total moment   0.000 μB per cell

# 5
Density functional theory data (GGA-PBE) for a relaxed structure of TlCd2P.

Lattice parameters (Å, degrees): 3.0930 3.8077 7.9389 90.00 90.00 90.00
Last column: nearest neighbours and their distance in Å.
Atoms (fractional coordinates):
Tl: 0.0000 0.0000 0.0000  2 Tl 3.09, 8 Cd 3.41
Cd: 0.5000 0.5000 0.2982  4 P 2.93, 3 Cd 3.09-3.20
Cd: 0.5000 0.5000 0.7018  4 P 2.93, 3 Cd 3.09-3.20
P: 0.0000 0.0000 0.5000  8 Cd 2.93, 2 P 3.09

Values from the calculation:
Symmetry   No. 47
DFT formation energy   0.222 eV/atom
N(E_F)   1.8 states/eV/cell
Size of the total moment   0.000 μB per cell

# 6
Density functional theory data (GGA-PBE) for a relaxed structure of TlCd2P.

Lattice parameters (Å, degrees): 4.8842 4.8842 4.0565 90.00 90.00 106.41
Last column: nearest neighbours and their distance in Å.
Atoms (fractional coordinates):
Tl: 0.0000 0.0000 0.0000  2 P 2.93, 8 Cd 3.17
Cd: 0.0000 0.5000 0.5000  2 Cd 2.93, 4 Tl 3.17, 4 P 3.17
Cd: 0.5000 0.0000 0.5000  2 Cd 2.93, 4 Tl 3.17, 4 P 3.17
P: 0.5000 0.5000 0.0000  2 Tl 2.93, 8 Cd 3.17

Values from the calculation:
Symmetry   No. 65
DFT formation energy   0.287 eV/atom
N(E_F)   1.2 states/eV/cell
Size of the total moment   0.000 μB per cell